(1)
This record from the Alexandria database describes crystalline NbV6Co4 at its relaxed geometry. The functional is PBE.

Cell: 5.796 5.796 9.142 Å, 90.00 90.00 90.00°
Space group I-42m (No. 121)
Unique sites:
Nb 0.000 0.000 0.000
V 0.000 0.500 0.000
V 0.197 0.197 0.276
Co 0.157 0.157 0.576

Computed properties:
E (eV per atom): -8.254
N(E_F) (states/eV per cell): 25.68
Energy of formation (meV/atom): 219

(2)
This record from the Alexandria database describes crystalline NbV2Co4 at its relaxed geometry. The functional is PBE.

Cell: 4.511 4.511 11.528 Å, 90.00 90.00 90.00°
Space group I4/mmm (No. 139)
Unique sites:
Nb 0.000 0.000 0.000
V 0.000 0.000 0.408
Co 0.000 0.000 0.204
Co 0.000 0.500 0.000

Computed properties:
E (eV per atom): -6.981
N(E_F) (states/eV per cell): 20.37
Energy of formation (meV/atom): 1124